{
  "formula": "Mg2Ni2RhO6",
  "functional": "GGA+U",
  "state": "relaxed",
  "spacegroup": "No. 12",
  "crystal_system": "monoclinic",
  "dft_energy_ev_per_cell": -62.15,
  "density_g_cm3": 5.322,
  "lattice": [[5.161, 0.064, 0.064], [-2.496, 4.518, 0.064], [-0.977, -1.680, 4.803]],
  "species": ["Rh", "O", "O", "O", "O", "O", "O", "Mg", "Mg", "Ni", "Ni"],
  "frac_coords": [[0.000, 0.000, 0.500], [0.600, 0.944, 0.264], [0.056, 0.400, 0.736], [0.944, 0.600, 0.264], [0.400, 0.056, 0.736], [0.231, 0.231, 0.262], [0.769, 0.769, 0.738], [0.828, 0.172, 0.000], [0.172, 0.828, 0.000], [0.341, 0.659, 0.500], [0.659, 0.341, 0.500]]
}